Here is a relaxed structure of CsK2AgCl4 from Alexandria via LeMat-Bulk. Energies are from GGA-PBE.

```
CsK2AgCl4
1.0
-3.1747 0.9724 -3.0492
-3.7159 -0.3924 7.0759
2.5636 15.2426 2.1917
Cs K Ag Cl
2 4 2 8
Direct
0.1141 0.2281 0.7500
0.8859 0.7719 0.2500
0.3706 0.7413 0.5504
0.6294 0.2587 0.0504
0.6294 0.2587 0.4496
0.3706 0.7413 0.9496
0.8439 0.6879 0.7500
0.1561 0.3121 0.2500
0.2620 0.5241 0.1203
0.7380 0.4759 0.6203
0.7380 0.4759 0.8797
0.2620 0.5241 0.3797
0.0000 0.0000 0.5000
0.0000 0.0000 0.0000
0.4334 0.8668 0.7500
0.5666 0.1332 0.2500
```

Values from the calculation:
- energy (eV per atom) = -3.250
- total moment (μB/cell) = 0.0
- formation energy (no corrections) (eV/atom) = -1.589
- space group = Cmcm (63)
- density of states at the Fermi level (states/eV/cell) = 0.00